1.
# Mn2ZnRu GGA-PBE optimized geometry
# Fermi-level density of states   0.93 states/eV per atom
# ΔE_f   0.092 eV per atom
# Symmetry   I4/mmm (139)
data_Mn2ZnRu
_chemical_formula_sum 'Mn4 Zn2 Ru2'
_cell_length_a 3.763
_cell_length_b 3.763
_cell_length_c 7.372
_cell_angle_alpha 90.00
_cell_angle_beta 90.00
_cell_angle_gamma 90.00
_space_group_name_H-M_alt 'P 1'
_space_group_IT_number 1
loop_
_space_group_symop_operation_xyz
'x,y,z'
loop_
_atom_site_label
_atom_site_type_symbol
_atom_site_fract_x
_atom_site_fract_y
_atom_site_fract_z
Mn1 Mn 0.000 0.500 0.250
Mn2 Mn 0.000 0.500 0.750
Mn3 Mn 0.500 0.000 0.250
Mn4 Mn 0.500 0.000 0.750
Zn1 Zn 0.000 0.000 0.000
Zn2 Zn 0.500 0.500 0.500
Ru1 Ru 0.000 0.000 0.500
Ru2 Ru 0.500 0.500 0.000

=====

2.
# MnZnRu2 GGA-PBE optimized geometry
# Fermi-level density of states   0.87 states/eV per atom
# ΔE_f   0.129 eV per atom
# Symmetry   Immm (71)
data_MnZnRu2
_chemical_formula_sum 'Mn2 Zn2 Ru4'
_cell_length_a 2.827
_cell_length_b 4.455
_cell_length_c 8.817
_cell_angle_alpha 90.00
_cell_angle_beta 90.00
_cell_angle_gamma 90.00
_space_group_name_H-M_alt 'P 1'
_space_group_IT_number 1
loop_
_space_group_symop_operation_xyz
'x,y,z'
loop_
_atom_site_label
_atom_site_type_symbol
_atom_site_fract_x
_atom_site_fract_y
_atom_site_fract_z
Mn1 Mn 0.000 0.000 0.000
Mn2 Mn 0.500 0.500 0.500
Zn1 Zn 0.000 0.000 0.500
Zn2 Zn 0.500 0.500 0.000
Ru1 Ru 0.000 0.500 0.271
Ru2 Ru 0.000 0.500 0.729
Ru3 Ru 0.500 0.000 0.229
Ru4 Ru 0.500 0.000 0.771

=====

3.
# MnZnRu2 GGA-PBE optimized geometry
# Fermi-level density of states   1.26 states/eV per atom
# ΔE_f   0.203 eV per atom
# Symmetry   F-43m (216)
data_MnZnRu2
_chemical_formula_sum 'Mn4 Zn4 Ru8'
_cell_length_a 6.089
_cell_length_b 6.089
_cell_length_c 6.089
_cell_angle_alpha 90.00
_cell_angle_beta 90.00
_cell_angle_gamma 90.00
_space_group_name_H-M_alt 'P 1'
_space_group_IT_number 1
loop_
_space_group_symop_operation_xyz
'x,y,z'
loop_
_atom_site_label
_atom_site_type_symbol
_atom_site_fract_x
_atom_site_fract_y
_atom_site_fract_z
Mn1 Mn 0.000 0.000 0.000
Mn2 Mn 0.000 0.500 0.500
Mn3 Mn 0.500 0.000 0.500
Mn4 Mn 0.500 0.500 0.000
Zn1 Zn 0.250 0.250 0.750
Zn2 Zn 0.250 0.750 0.250
Zn3 Zn 0.750 0.250 0.250
Zn4 Zn 0.750 0.750 0.750
Ru1 Ru 0.000 0.000 0.500
Ru2 Ru 0.000 0.500 0.000
Ru3 Ru 0.250 0.250 0.250
Ru4 Ru 0.250 0.750 0.750
Ru5 Ru 0.500 0.000 0.000
Ru6 Ru 0.500 0.500 0.500
Ru7 Ru 0.750 0.250 0.750
Ru8 Ru 0.750 0.750 0.250

=====

4.
# MnZnRu2 GGA-PBE optimized geometry
# Fermi-level density of states   1.00 states/eV per atom
# ΔE_f   0.075 eV per atom
# Symmetry   Imm2 (44)
data_MnZnRu2
_chemical_formula_sum 'Mn2 Zn2 Ru4'
_cell_length_a 3.060
_cell_length_b 4.191
_cell_length_c 8.508
_cell_angle_alpha 90.00
_cell_angle_beta 90.00
_cell_angle_gamma 90.00
_space_group_name_H-M_alt 'P 1'
_space_group_IT_number 1
loop_
_space_group_symop_operation_xyz
'x,y,z'
loop_
_atom_site_label
_atom_site_type_symbol
_atom_site_fract_x
_atom_site_fract_y
_atom_site_fract_z
Mn1 Mn 0.000 0.000 0.000
Mn2 Mn 0.500 0.500 0.500
Zn1 Zn 0.000 0.500 0.254
Zn2 Zn 0.500 0.000 0.754
Ru1 Ru 0.000 0.000 0.501
Ru2 Ru 0.000 0.500 0.748
Ru3 Ru 0.500 0.000 0.248
Ru4 Ru 0.500 0.500 0.001

=====

5.
# Mn2ZnRu GGA-PBE optimized geometry
# Fermi-level density of states   1.17 states/eV per atom
# ΔE_f   0.180 eV per atom
# Symmetry   C2/m (12)
data_Mn2ZnRu
_chemical_formula_sum 'Mn4 Zn2 Ru2'
_cell_length_a 8.728
_cell_length_b 2.777
_cell_length_c 4.382
_cell_angle_alpha 90.00
_cell_angle_beta 103.63
_cell_angle_gamma 90.00
_space_group_name_H-M_alt 'P 1'
_space_group_IT_number 1
loop_
_space_group_symop_operation_xyz
'x,y,z'
loop_
_atom_site_label
_atom_site_type_symbol
_atom_site_fract_x
_atom_site_fract_y
_atom_site_fract_z
Mn1 Mn 0.248 0.000 0.253
Mn2 Mn 0.252 0.500 0.747
Mn3 Mn 0.748 0.500 0.253
Mn4 Mn 0.752 0.000 0.747
Zn1 Zn 0.000 0.000 0.500
Zn2 Zn 0.500 0.500 0.500
Ru1 Ru 0.000 0.500 0.000
Ru2 Ru 0.500 0.000 0.000

=====

6.
# MnZnRu2 GGA-PBE optimized geometry
# Fermi-level density of states   0.92 states/eV per atom
# ΔE_f   0.048 eV per atom
# Symmetry   Pm (6)
data_MnZnRu2
_chemical_formula_sum 'Mn1 Zn1 Ru2'
_cell_length_a 2.754
_cell_length_b 3.800
_cell_length_c 5.277
_cell_angle_alpha 90.00
_cell_angle_beta 90.08
_cell_angle_gamma 90.00
_space_group_name_H-M_alt 'P 1'
_space_group_IT_number 1
loop_
_space_group_symop_operation_xyz
'x,y,z'
loop_
_atom_site_label
_atom_site_type_symbol
_atom_site_fract_x
_atom_site_fract_y
_atom_site_fract_z
Mn1 Mn 0.000 0.000 0.000
Zn1 Zn 0.499 0.500 0.756
Ru1 Ru 0.000 0.000 0.490
Ru2 Ru 0.500 0.500 0.259